# 1
Cu2BiAs after structural relaxation. Source: the Alexandria database, functional PBE.

Calculated values
**Total DFT energy (no corrections)**: -31.17 eV for the cell shown
**E_form**: 6.556 kcal/mol of atoms
**Fermi-level density of states**: 5.4 states/eV per cell

a = 5.9161 Å, b = 5.9161 Å, c = 5.9161 Å
α = 105.94°, β = 105.94°, γ = 116.80°
Fractional positions:
Cu  0.0785  0.6250  0.9535
Cu  0.3750  0.3285  0.4535
Cu  0.6715  0.1250  0.0465
Cu  0.8750  0.9215  0.5465
Bi  0.2500  0.7500  0.5000
Bi  0.5000  0.5000  0.0000
As  0.0000  0.0000  0.0000
As  0.7500  0.2500  0.5000


# 2
P2RuSe after structural relaxation. Source: the Alexandria database, functional PBE.

Calculated values
**Total DFT energy (no corrections)**: -23.23 eV for the cell shown
**Uncorrected formation energy**: 0.087 eV/atom
**Fermi-level density of states**: 2.5 states/eV per cell

a = 2.8301 Å, b = 2.8301 Å, c = 8.5936 Å
α = 90.00°, β = 90.00°, γ = 90.00°
Fractional positions:
P  0.0000  0.0000  0.1768
P  0.0000  0.0000  0.8232
Ru  0.5000  0.5000  0.0000
Se  0.5000  0.5000  0.5000


# 3
NaScTe after structural relaxation. Source: the Alexandria database, functional PBE.

Calculated values
**Total DFT energy (no corrections)**: -25.99 eV for the cell shown
**Uncorrected formation energy**: -0.734 eV/atom
**Fermi-level density of states**: 3.6 states/eV per cell

a = 4.4619 Å, b = 4.4619 Å, c = 8.1208 Å
α = 90.00°, β = 90.00°, γ = 90.00°
Fractional positions:
Na  0.2500  0.2500  0.1508
Na  0.7500  0.7500  0.8492
Sc  0.2500  0.7500  0.5000
Sc  0.7500  0.2500  0.5000
Te  0.2500  0.2500  0.7512
Te  0.7500  0.7500  0.2488


# 4
ZrSb2Os after structural relaxation. Source: the Alexandria database, functional PBE.

Calculated values
**Total DFT energy (no corrections)**: -28.28 eV for the cell shown
**Uncorrected formation energy**: -0.065 eV/atom
**Fermi-level density of states**: 2.3 states/eV per cell

a = 3.2569 Å, b = 4.0480 Å, c = 7.5944 Å
α = 90.00°, β = 102.24°, γ = 90.00°
Fractional positions:
Zr  0.0000  0.0000  0.0000
Sb  0.3837  0.5000  0.7643
Sb  0.6865  0.0000  0.3777
Os  0.5670  0.5000  0.1358


# 5
Li3AgPd2 after structural relaxation. Source: the Alexandria database, functional PBE.

Calculated values
**Total DFT energy (no corrections)**: -40.80 eV for the cell shown
**E_form**: -5.466 kcal/mol of atoms
**Fermi-level density of states**: 3.9 states/eV per cell

a = 6.5475 Å, b = 6.5475 Å, c = 6.5475 Å
α = 100.52°, β = 96.37°, γ = 134.95°
Fractional positions:
Li  0.0000  0.2494  0.2494
Li  0.0000  0.7506  0.7506
Li  0.5000  0.0000  0.0000
Li  0.5000  0.2494  0.7494
Li  0.5000  0.5000  0.5000
Li  0.5000  0.7506  0.2506
Ag  0.0007  0.7507  0.2500
Ag  0.9993  0.2493  0.7500
Pd  0.3327  0.7493  0.5835
Pd  0.3342  0.2507  0.0835
Pd  0.6658  0.7493  0.9165
Pd  0.6673  0.2507  0.4165


# 6
LiScMo2 after structural relaxation. Source: the Alexandria database, functional PBE.

Calculated values
**Total DFT energy (no corrections)**: -28.59 eV for the cell shown
**E_form**: 7.574 kcal/mol of atoms
**Fermi-level density of states**: 2.5 states/eV per cell

a = 2.6838 Å, b = 4.7370 Å, c = 5.3659 Å
α = 90.00°, β = 90.00°, γ = 90.00°
Fractional positions:
Li  0.0000  0.0000  0.0000
Sc  0.0000  0.0000  0.5000
Mo  0.5000  0.5000  0.2615
Mo  0.5000  0.5000  0.7385


# 7
NaVBr3 after structural relaxation. Source: the Alexandria database, functional PBE.

Calculated values
**Total DFT energy (no corrections)**: -82.90 eV for the cell shown
**Uncorrected formation energy**: -1.054 eV/atom

a = 9.1728 Å, b = 3.9562 Å, c = 14.5023 Å
α = 90.00°, β = 90.00°, γ = 90.00°
Fractional positions:
Na  0.0408  0.2500  0.1766
Na  0.4592  0.7500  0.6766
Na  0.5408  0.2500  0.3234
Na  0.9592  0.7500  0.8234
V  0.1694  0.7500  0.4551
V  0.3306  0.2500  0.9551
V  0.6694  0.7500  0.0449
V  0.8306  0.2500  0.5449
Br  0.0014  0.7500  0.6034
Br  0.1691  0.7500  0.0217
Br  0.1996  0.2500  0.7961
Br  0.3004  0.7500  0.2961
Br  0.3309  0.2500  0.5217
Br  0.4986  0.2500  0.1034
Br  0.5014  0.7500  0.8966
Br  0.6691  0.7500  0.4783
Br  0.6996  0.2500  0.7039
Br  0.8004  0.7500  0.2039
Br  0.8309  0.2500  0.9783
Br  0.9986  0.2500  0.3966


# 8
SiTcMo after structural relaxation. Source: the Alexandria database, functional PBE.

Calculated values
**Total DFT energy (no corrections)**: -165.27 eV for the cell shown
**Uncorrected formation energy**: -0.308 eV/atom
**Fermi-level density of states**: 11.4 states/eV per cell

a = 11.5980 Å, b = 3.1178 Å, c = 7.1279 Å
α = 90.00°, β = 90.00°, γ = 90.00°
Fractional positions:
Si  0.0980  0.0000  0.0630
Si  0.2500  0.5000  0.5941
Si  0.4020  0.0000  0.0630
Si  0.5980  0.0000  0.9370
Si  0.7500  0.5000  0.4059
Si  0.9020  0.0000  0.9370
Tc  0.1132  0.0000  0.4512
Tc  0.2500  0.0000  0.8457
Tc  0.3868  0.0000  0.4512
Tc  0.6132  0.0000  0.5488
Tc  0.7500  0.0000  0.1543
Tc  0.8868  0.0000  0.5488
Mo  0.0316  0.5000  0.7681
Mo  0.2500  0.5000  0.2180
Mo  0.4684  0.5000  0.7681
Mo  0.5316  0.5000  0.2319
Mo  0.7500  0.5000  0.7820
Mo  0.9684  0.5000  0.2319


# 9
InBiS4 after structural relaxation. Source: the Alexandria database, functional PBE.

Calculated values
**Total DFT energy (no corrections)**: -45.79 eV for the cell shown
**Uncorrected formation energy**: 0.039 eV/atom
**Fermi-level density of states**: 11.2 states/eV per cell

a = 5.9199 Å, b = 5.9199 Å, c = 8.8918 Å
α = 90.00°, β = 90.00°, γ = 82.23°
Fractional positions:
In  0.0405  0.9595  0.7500
In  0.9595  0.0405  0.2500
Bi  0.4959  0.5041  0.2500
Bi  0.5041  0.4959  0.7500
S  0.0615  0.3749  0.7500
S  0.2581  0.7419  0.5359
S  0.2581  0.7419  0.9641
S  0.3749  0.0615  0.2500
S  0.6251  0.9385  0.7500
S  0.7419  0.2581  0.0359
S  0.7419  0.2581  0.4641
S  0.9385  0.6251  0.2500


# 10
MgGa2Au after structural relaxation. Source: the Alexandria database, functional PBE.

Calculated values
**Total DFT energy (no corrections)**: -10.92 eV for the cell shown
**E_form**: 0.014 kcal/mol of atoms
**Fermi-level density of states**: 1.5 states/eV per cell

a = 9.7422 Å, b = 9.7422 Å, c = 9.7422 Å
α = 18.91°, β = 18.91°, γ = 18.91°
Fractional positions:
Mg  0.0000  0.0000  0.0000
Ga  0.0961  0.0961  0.0961
Ga  0.9039  0.9039  0.9039
Au  0.5000  0.5000  0.5000


# 11
PrCdHgBi after structural relaxation. Source: the Alexandria database, functional PBE.

Calculated values
**Total DFT energy (no corrections)**: -11.11 eV for the cell shown
**E_form**: -7.098 kcal/mol of atoms
**Fermi-level density of states**: 3.5 states/eV per cell

a = 5.4375 Å, b = 5.4375 Å, c = 5.4375 Å
α = 60.00°, β = 60.00°, γ = 60.00°
Fractional positions:
Pr  0.0000  0.0000  0.0000
Cd  0.5000  0.5000  0.5000
Hg  0.2500  0.2500  0.2500
Bi  0.7500  0.7500  0.7500


# 12
BaZrAl2 after structural relaxation. Source: the Alexandria database, functional PBE.

Calculated values
**Total DFT energy (no corrections)**: -18.37 eV for the cell shown
**E_form**: -2.383 kcal/mol of atoms
**Fermi-level density of states**: 2.5 states/eV per cell

a = 3.3057 Å, b = 3.3057 Å, c = 9.0729 Å
α = 90.00°, β = 90.00°, γ = 90.00°
Fractional positions:
Ba  0.0000  0.0000  0.0000
Zr  0.0000  0.0000  0.5000
Al  0.5000  0.5000  0.2942
Al  0.5000  0.5000  0.7058


# 13
Dy8Rh5C12 after structural relaxation. Source: the Alexandria database, functional PBE.

Calculated values
**Total DFT energy (no corrections)**: -194.13 eV for the cell shown
**E_form**: -9.101 kcal/mol of atoms
**Fermi-level density of states**: 4.6 states/eV per cell

a = 14.0986 Å, b = 14.0986 Å, c = 7.3638 Å
α = 94.04°, β = 94.04°, γ = 14.69°
Fractional positions:
Dy  0.0472  0.0472  0.2902
Dy  0.0873  0.0873  0.8249
Dy  0.1998  0.1998  0.6073
Dy  0.2066  0.2066  0.1187
Dy  0.7934  0.7934  0.8813
Dy  0.8002  0.8002  0.3927
Dy  0.9127  0.9127  0.1751
Dy  0.9528  0.9528  0.7098
Rh  0.3835  0.3835  0.8780
Rh  0.3905  0.3905  0.5133
Rh  0.5000  0.5000  0.0000
Rh  0.6095  0.6095  0.4867
Rh  0.6165  0.6165  0.1220
C  0.2835  0.2835  0.6354
C  0.2931  0.2931  0.1324
C  0.3315  0.3315  0.6555
C  0.3408  0.3408  0.1152
C  0.4516  0.4516  0.3881
C  0.4771  0.4771  0.2474
C  0.5229  0.5229  0.7526
C  0.5484  0.5484  0.6119
C  0.6592  0.6592  0.8848
C  0.6685  0.6685  0.3445
C  0.7069  0.7069  0.8676
C  0.7165  0.7165  0.3646


# 14
NiSe after structural relaxation. Source: the Alexandria database, functional PBE.

Calculated values
**Total DFT energy (no corrections)**: -9.31 eV for the cell shown
**Uncorrected formation energy**: -0.023 eV/atom
**Fermi-level density of states**: 1.5 states/eV per cell

a = 3.5613 Å, b = 3.5613 Å, c = 2.9184 Å
α = 90.00°, β = 90.00°, γ = 120.00°
Fractional positions:
Ni  0.0000  0.0000  0.0000
Se  0.6667  0.3333  0.5000


# 15
LaPr6Dy2Mg after structural relaxation. Source: the Alexandria database, functional PBE.

Calculated values
**Total DFT energy (no corrections)**: -86.84 eV for the cell shown
**E_form**: 2.271 kcal/mol of atoms
**Fermi-level density of states**: 27.4 states/eV per cell

a = 8.6997 Å, b = 8.6997 Å, c = 9.6338 Å
α = 96.55°, β = 96.55°, γ = 106.03°
Fractional positions:
La  0.0651  0.9349  0.7500
La  0.9349  0.0651  0.2500
Pr  0.0318  0.4598  0.3293
Pr  0.0804  0.7354  0.0752
Pr  0.2646  0.9196  0.4248
Pr  0.3289  0.5609  0.9040
Pr  0.4391  0.6711  0.5960
Pr  0.4598  0.0318  0.8293
Pr  0.5402  0.9682  0.1707
Pr  0.5609  0.3289  0.4040
Pr  0.6711  0.4391  0.0960
Pr  0.7354  0.0804  0.5752
Pr  0.9196  0.2646  0.9248
Pr  0.9682  0.5402  0.6707
Dy  0.2026  0.2686  0.5939
Dy  0.2686  0.2026  0.0939
Dy  0.7314  0.7974  0.9061
Dy  0.7974  0.7314  0.4061
Mg  0.4009  0.5991  0.2500
Mg  0.5991  0.4009  0.7500


# 16
ErAl6Fe3 after structural relaxation. Source: the Alexandria database, functional PBE.

Calculated values
**Total DFT energy (no corrections)**: -54.89 eV for the cell shown
**E_form**: -5.731 kcal/mol of atoms
**Fermi-level density of states**: 3.5 states/eV per cell

a = 5.3419 Å, b = 5.3419 Å, c = 7.0963 Å
α = 112.04°, β = 112.04°, γ = 60.00°
Fractional positions:
Er  0.0000  0.0000  0.0000
Al  0.0961  0.5960  0.2880
Al  0.3979  0.3979  0.6907
Al  0.3979  0.8958  0.6907
Al  0.5960  0.0961  0.2880
Al  0.5959  0.5959  0.2880
Al  0.8958  0.3979  0.6907
Fe  0.1372  0.1372  0.4102
Fe  0.3276  0.3276  0.9825
Fe  0.6590  0.6590  0.9768


# 17
BaCuP2 after structural relaxation. Source: the Alexandria database, functional PBE.

Calculated values
**Total DFT energy (no corrections)**: -17.77 eV for the cell shown
**E_form**: -5.391 kcal/mol of atoms
**Fermi-level density of states**: 2.5 states/eV per cell

a = 4.1578 Å, b = 4.1578 Å, c = 6.9267 Å
α = 90.00°, β = 90.00°, γ = 121.54°
Fractional positions:
Ba  0.0000  0.0000  0.0000
Cu  0.0000  0.0000  0.5000
P  0.5000  0.5000  0.3388
P  0.5000  0.5000  0.6612


# 18
AlTeAsSe2 after structural relaxation. Source: the Alexandria database, functional PBE.

Calculated values
**Total DFT energy (no corrections)**: -15.03 eV for the cell shown
**Uncorrected formation energy**: 0.694 eV/atom
**Fermi-level density of states**: 6.0 states/eV per cell

a = 5.3823 Å, b = 5.3823 Å, c = 5.3422 Å
α = 90.00°, β = 90.00°, γ = 90.00°
Fractional positions:
Al  0.0000  0.0000  0.0000
Te  0.5000  0.5000  0.5000
As  0.5000  0.5000  0.0000
Se  0.0000  0.5000  0.5000
Se  0.5000  0.0000  0.5000


# 19
NaCoOs after structural relaxation. Source: the Alexandria database, functional PBE.

Calculated values
**Total DFT energy (no corrections)**: -16.01 eV for the cell shown
**E_form**: 27.991 kcal/mol of atoms
**Fermi-level density of states**: 4.1 states/eV per cell

a = 4.0672 Å, b = 4.0672 Å, c = 4.0672 Å
α = 60.00°, β = 60.00°, γ = 60.00°
Fractional positions:
Na  0.0000  0.0000  0.0000
Co  0.2500  0.2500  0.2500
Os  0.5000  0.5000  0.5000


# 20
YNi2Br after structural relaxation. Source: the Alexandria database, functional PBE.

Calculated values
**Total DFT energy (no corrections)**: -20.74 eV for the cell shown
**Uncorrected formation energy**: -0.260 eV/atom
**Fermi-level density of states**: 2.0 states/eV per cell

a = 3.5411 Å, b = 3.9772 Å, c = 5.3569 Å
α = 90.00°, β = 90.15°, γ = 90.00°
Fractional positions:
Y  0.0000  0.0000  0.0000
Ni  0.4990  0.5000  0.7808
Ni  0.5010  0.5000  0.2192
Br  0.5000  0.0000  0.5000